A plane-wave DFT calculation with PBE was carried out for a geometry-optimized CrMoPd2 structure.

Cell lengths 7.003, 7.003, 5.576 Å; angles 51.11, 51.11, 90.00 degrees
Atoms (fractional coordinates):
Cr 0.500 0.500 0.000
Cr 0.250 0.750 0.500
Mo 0.000 0.000 0.000
Mo 0.750 0.250 0.500
Pd 0.601 0.125 0.250
Pd 0.149 0.625 0.250
Pd 0.375 0.399 0.750
Pd 0.875 0.851 0.750

Results
- Energy above the lowest structure with this stoichiometry: 482 meV/atom

***

A plane-wave DFT calculation with PBE was carried out for a geometry-optimized CrMo2Pd8 structure.

Cell lengths 3.915, 6.202, 7.393 Å; angles 104.06, 105.35, 90.00 degrees
Each line ends with the local moment (μB).
Atoms (fractional coordinates):
Cr 0.500 0.000 0.000  3.12
Mo 0.228 0.627 0.457  0.01
Mo 0.772 0.373 0.543  0.01
Pd 0.592 0.452 0.185  -0.02
Pd 0.318 0.087 0.636  0.02
Pd 0.138 0.186 0.276  0.02
Pd 0.047 0.732 0.094  0.00
Pd 0.862 0.814 0.724  0.02
Pd 0.682 0.913 0.364  0.02
Pd 0.408 0.548 0.815  -0.02
Pd 0.953 0.268 0.906  0.00

***

A plane-wave DFT calculation with PBE was carried out for a geometry-optimized CrMoPd5 structure.

Cell lengths 5.440, 5.440, 11.208 Å; angles 58.73, 58.73, 60.65 degrees
Each line ends with the local moment (μB).
Atoms (fractional coordinates):
Cr 0.000 0.000 0.000  3.42
Cr 0.000 0.000 0.500  3.42
Mo 0.770 0.230 0.250  -0.54
Mo 0.230 0.770 0.750  -0.54
Pd 0.716 0.691 0.281  0.01
Pd 0.298 0.284 0.487  0.01
Pd 0.691 0.716 0.781  0.01
Pd 0.213 0.787 0.250  0.01
Pd 0.716 0.702 0.013  0.01
Pd 0.284 0.298 0.987  0.01
Pd 0.787 0.213 0.750  0.01
Pd 0.309 0.284 0.219  0.01
Pd 0.702 0.716 0.513  0.01
Pd 0.284 0.309 0.719  0.01

***

| no. | formation energy from the elements (eV/f.u.) | magnetization (μB/cell) | DOS at the Fermi energy (states/eV/f.u.) |
| --- | --- | --- | --- |
| 1 | 2.66 | 0.00 | 8.16 |
| 2 | -0.76 | 3.45 | 11.94 |
| 3 | 1.24 | 6.31 | 5.76 |